The following is a DFT calculation (PBE-GGA) of LuTlNiW after structural relaxation.

CIF file:
```
data_LuTlNiW
_chemical_formula_sum 'Lu4 Tl4 Ni4 W4'
_cell_length_a 6.732
_cell_length_b 6.732
_cell_length_c 6.732
_cell_angle_alpha 90.00
_cell_angle_beta 90.00
_cell_angle_gamma 90.00
_space_group_name_H-M_alt 'F -4 3 m'
_space_group_IT_number 216
_space_group_name_Hall 'F -4 2 3'
loop_
_atom_site_label
_atom_site_fract_x
_atom_site_fract_y
_atom_site_fract_z
Lu1 0.000 0.000 0.000
Tl1 0.250 0.250 0.250
Ni1 0.000 0.000 0.500
W1 0.250 0.250 0.750
```

Values from the calculation:
size of the total moment	2.74	μB per formula unit
uncorrected energy	-5.6479	eV/atom